{"formula": "PaFeCuSn", "functional": "GGA-PBE", "state": "relaxed", "cell": [[0.000, 3.303, 3.303], [3.303, 0.000, 3.303], [3.303, 3.303, 0.000]], "species": ["Pa", "Fe", "Cu", "Sn"], "frac_coords": [[0.000, 0.000, 0.000], [0.750, 0.750, 0.750], [0.250, 0.250, 0.250], [0.500, 0.500, 0.500]], "spacegroup": "F-43m, No. 216", "e_form_ev_per_atom": -0.046, "rho_g_cm3": 10.8}


{"formula": "TbPaFeCu", "functional": "GGA-PBE", "state": "relaxed", "cell": [[0.000, 3.386, 3.386], [3.386, 0.000, 3.386], [3.386, 3.386, 0.000]], "species": ["Tb", "Pa", "Fe", "Cu"], "frac_coords": [[0.000, 0.000, 0.000], [0.500, 0.500, 0.500], [0.750, 0.750, 0.750], [0.250, 0.250, 0.250]], "spacegroup": "F-43m, No. 216", "e_form_ev_per_atom": 0.073, "rho_g_cm3": 10.9}


{"formula": "TmPaFeCu", "functional": "GGA-PBE", "state": "relaxed", "cell": [[0.000, 3.359, 3.359], [3.359, 0.000, 3.359], [3.359, 3.359, 0.000]], "species": ["Tm", "Pa", "Fe", "Cu"], "frac_coords": [[0.000, 0.000, 0.000], [0.500, 0.500, 0.500], [0.250, 0.250, 0.250], [0.750, 0.750, 0.750]], "spacegroup": "F-43m, No. 216", "e_form_ev_per_atom": 0.014, "rho_g_cm3": 11.4}


{"formula": "YPaFeCu", "functional": "GGA-PBE", "state": "relaxed", "cell": [[0.000, 3.387, 3.387], [3.387, 0.000, 3.387], [3.387, 3.387, 0.000]], "species": ["Y", "Pa", "Fe", "Cu"], "frac_coords": [[0.000, 0.000, 0.000], [0.500, 0.500, 0.500], [0.250, 0.250, 0.250], [0.750, 0.750, 0.750]], "spacegroup": "F-43m, No. 216", "e_form_ev_per_atom": 0.077, "rho_g_cm3": 9.4}


{"formula": "PaZnFeCu", "functional": "GGA-PBE", "state": "relaxed", "cell": [[0.000, 3.197, 3.197], [3.197, 0.000, 3.197], [3.197, 3.197, 0.000]], "species": ["Pa", "Zn", "Fe", "Cu"], "frac_coords": [[0.000, 0.000, 0.000], [0.500, 0.500, 0.500], [0.750, 0.750, 0.750], [0.250, 0.250, 0.250]], "spacegroup": "F-43m, No. 216", "e_form_ev_per_atom": 0.091, "rho_g_cm3": 10.6}


{"formula": "Fe2CuPb2", "functional": "GGA-PBE", "state": "relaxed", "cell": [[6.649, 0.000, 0.000], [0.000, 6.649, 0.000], [0.000, 0.000, 4.165]], "species": ["Fe", "Fe", "Fe", "Fe", "Cu", "Cu", "Pb", "Pb", "Pb", "Pb"], "frac_coords": [[0.126, 0.374, 0.000], [0.374, 0.874, 0.000], [0.626, 0.126, 0.000], [0.874, 0.626, 0.000], [0.000, 0.000, 0.000], [0.500, 0.500, 0.000], [0.178, 0.678, 0.500], [0.322, 0.178, 0.500], [0.678, 0.822, 0.500], [0.822, 0.322, 0.500]], "spacegroup": "P4/mbm, No. 127", "e_form_ev_per_atom": 0.474, "rho_g_cm3": 10.6}


{"formula": "FeCuPb", "functional": "GGA-PBE", "state": "relaxed", "cell": [[3.133, 0.000, 0.000], [-1.567, 2.713, 0.000], [0.000, 0.000, 6.498]], "species": ["Fe", "Cu", "Pb"], "frac_coords": [[0.000, 0.000, 0.000], [0.667, 0.333, 0.727], [0.333, 0.667, 0.359]], "spacegroup": "P3m1, No. 156", "e_form_ev_per_atom": 0.629, "rho_g_cm3": 9.8}


{"formula": "Fe2CuPb", "functional": "GGA-PBE", "state": "relaxed", "cell": [[3.164, 0.000, 0.000], [0.000, 3.164, 0.000], [0.000, 0.000, 6.334]], "species": ["Fe", "Fe", "Cu", "Pb"], "frac_coords": [[0.000, 0.000, 0.000], [0.500, 0.500, 0.174], [0.500, 0.500, 0.783], [0.000, 0.000, 0.480]], "spacegroup": "P4mm, No. 99", "e_form_ev_per_atom": 0.358, "rho_g_cm3": 10.0}


{"formula": "Fe2CuPb2", "functional": "GGA-PBE", "state": "relaxed", "cell": [[-2.540, 2.540, 3.629], [2.540, -2.540, 3.629], [2.540, 2.540, -3.629]], "species": ["Fe", "Fe", "Cu", "Pb", "Pb"], "frac_coords": [[0.141, 0.141, 0.000], [0.859, 0.859, 0.000], [0.500, 0.500, 0.000], [0.250, 0.750, 0.500], [0.750, 0.250, 0.500]], "spacegroup": "I4/mmm, No. 139", "e_form_ev_per_atom": 0.851, "rho_g_cm3": 10.5}


{"formula": "FeCuPb", "functional": "GGA-PBE", "state": "relaxed", "cell": [[4.260, 0.000, 0.000], [-2.130, 3.689, 0.000], [0.000, 0.000, 3.390]], "species": ["Fe", "Cu", "Pb"], "frac_coords": [[0.000, 0.000, 0.000], [0.333, 0.667, 0.859], [0.667, 0.333, 0.448]], "spacegroup": "P3m1, No. 156", "e_form_ev_per_atom": 0.546, "rho_g_cm3": 10.2}


{"formula": "Fe2CuPb", "functional": "GGA-PBE", "state": "relaxed", "cell": [[-1.884, 1.884, 9.392], [1.884, -1.884, 9.392], [1.884, 1.884, -9.392]], "species": ["Fe", "Fe", "Fe", "Fe", "Cu", "Cu", "Pb", "Pb"], "frac_coords": [[0.104, 0.625, 0.979], [0.375, 0.354, 0.479], [0.646, 0.125, 0.021], [0.875, 0.896, 0.521], [0.000, 0.000, 0.000], [0.750, 0.250, 0.500], [0.250, 0.750, 0.500], [0.500, 0.500, 0.000]], "spacegroup": "I-42d, No. 122", "e_form_ev_per_atom": 0.668, "rho_g_cm3": 9.5}


{"formula": "Fe2CuPb", "functional": "GGA-PBE", "state": "relaxed", "cell": [[-1.919, 1.919, 4.102], [1.919, -1.919, 4.102], [1.919, 1.919, -4.102]], "species": ["Fe", "Fe", "Cu", "Pb"], "frac_coords": [[0.250, 0.750, 0.500], [0.750, 0.250, 0.500], [0.000, 0.000, 0.000], [0.500, 0.500, 0.000]], "spacegroup": "I4/mmm, No. 139", "e_form_ev_per_atom": 0.406, "rho_g_cm3": 10.5}


{"formula": "Fe4CuPb", "functional": "GGA-PBE", "state": "relaxed", "cell": [[0.000, 3.489, 3.489], [3.489, 0.000, 3.489], [3.489, 3.489, 0.000]], "species": ["Fe", "Fe", "Fe", "Fe", "Cu", "Pb"], "frac_coords": [[0.376, 0.376, 0.376], [0.376, 0.376, 0.872], [0.376, 0.872, 0.376], [0.872, 0.376, 0.376], [0.750, 0.750, 0.750], [0.000, 0.000, 0.000]], "spacegroup": "F-43m, No. 216", "e_form_ev_per_atom": 0.362, "rho_g_cm3": 9.7}


{"formula": "FeCu2Pb2", "functional": "GGA-PBE", "state": "relaxed", "cell": [[-2.694, 2.694, 3.642], [2.694, -2.694, 3.642], [2.694, 2.694, -3.642]], "species": ["Fe", "Cu", "Cu", "Pb", "Pb"], "frac_coords": [[0.000, 0.000, 0.000], [0.338, 0.338, 0.000], [0.662, 0.662, 0.000], [0.250, 0.750, 0.500], [0.750, 0.250, 0.500]], "spacegroup": "I4/mmm, No. 139", "e_form_ev_per_atom": 0.621, "rho_g_cm3": 9.4}


{"formula": "Fe2CuPb", "functional": "GGA-PBE", "state": "relaxed", "cell": [[3.255, 0.000, 0.000], [0.000, 3.255, 0.000], [0.000, 0.000, 6.011]], "species": ["Fe", "Fe", "Cu", "Pb"], "frac_coords": [[0.000, 0.000, 0.191], [0.000, 0.000, 0.809], [0.500, 0.500, 0.000], [0.500, 0.500, 0.500]], "spacegroup": "P4/mmm, No. 123", "e_form_ev_per_atom": 0.472, "rho_g_cm3": 10.0}